(1)
YCoPd2 at its PBEsol-relaxed geometry. Source: the Alexandria database, functional meta-GGA SCAN.

N(E_F)	0.655	states/eV/atom
space group	Fm-3m
formation energy from the elements	-394	meV/atom

a = 4.526 Å, b = 4.526 Å, c = 4.526 Å
α = 60.00°, β = 60.00°, γ = 60.00°
Site moments in Bohr magnetons follow the coordinates.
Fractional coordinates of all 4 atoms:
Y 0.500 0.500 0.500  -0.07
Pd 0.750 0.750 0.750  0.00
Pd 0.250 0.250 0.250  0.00
Co 0.000 0.000 0.000  2.18

***

(2)
YCoPd3 at its PBEsol-relaxed geometry. Source: the Alexandria database, functional meta-GGA SCAN.

N(E_F)	0.583	states/eV/atom
space group	Pm-3m
formation energy from the elements	-59	meV/atom

a = 4.537 Å, b = 4.537 Å, c = 4.537 Å
α = 90.00°, β = 90.00°, γ = 90.00°
Site moments in Bohr magnetons follow the coordinates.
Fractional coordinates of all 5 atoms:
Y 0.500 0.500 0.500  -0.02
Pd 0.000 0.500 0.000  0.17
Co 0.000 0.000 0.000  2.19
Pd 0.500 0.000 0.000  0.17
Pd 0.000 0.000 0.500  0.17

***

(3)
Zr2CoPd at its PBEsol-relaxed geometry. Source: the Alexandria database, functional meta-GGA SCAN.

N(E_F)	0.903	states/eV/atom
space group	Fm-3m
formation energy from the elements	-490	meV/atom

a = 4.563 Å, b = 4.563 Å, c = 4.563 Å
α = 60.00°, β = 60.00°, γ = 60.00°
Site moments in Bohr magnetons follow the coordinates.
Fractional coordinates of all 4 atoms:
Co 0.000 0.000 0.000  1.52
Zr 0.250 0.250 0.250  -0.24
Pd 0.500 0.500 0.500  -0.11
Zr 0.750 0.750 0.750  -0.24

***

(4)
Zr2Co2Pd at its PBEsol-relaxed geometry. Source: the Alexandria database, functional meta-GGA SCAN.

N(E_F)	0.972	states/eV/atom
space group	P4/mbm
formation energy from the elements	-376	meV/atom

a = 3.347 Å, b = 6.742 Å, c = 6.742 Å
α = 90.00°, β = 90.00°, γ = 90.00°
Fractional coordinates of all 10 atoms:
Zr 0.500 0.826 0.326
Co 0.000 0.625 0.125
Pd 0.000 0.500 0.500
Co 0.000 0.875 0.625
Pd 0.000 0.000 0.000
Co 0.000 0.125 0.375
Zr 0.500 0.674 0.826
Co 0.000 0.375 0.875
Zr 0.500 0.326 0.174
Zr 0.500 0.174 0.674